PBE Pm3Ag5Pt2, optimized geometry; formation energy = -0.383 eV/atom; density of states at the Fermi level = 11.02 states/eV per cell; total magnetic moment = 0.000 μB/f.u.
1.0
-5.7671 6.6589 2.9689
5.7671 -6.6589 2.9689
5.7671 6.6589 -2.9689
Pm Ag Pt
6 10 4
direct
0.2480 0.6239 0.8719 Pm
0.2500 0.2500 0.0000 Pm
0.2520 0.1239 0.3758 Pm
0.7480 0.8761 0.6242 Pm
0.7500 0.7500 0.0000 Pm
0.7520 0.3761 0.1281 Pm
0.1439 0.3768 0.5207 Ag
0.2500 0.5056 0.2556 Ag
0.2500 0.7500 0.5000 Ag
0.2500 0.9944 0.7444 Ag
0.3561 0.8768 0.2329 Ag
0.6439 0.1232 0.7671 Ag
0.7500 0.0056 0.2556 Ag
0.7500 0.2500 0.5000 Ag
0.7500 0.4944 0.7444 Ag
0.8561 0.6232 0.4793 Ag
0.1538 0.8707 0.0245 Pt
0.3462 0.3707 0.7168 Pt
0.6538 0.6293 0.2832 Pt
0.8462 0.1293 0.9755 Pt